Compound: Pm2GaNiO6
Source: Alexandria
Functional: PBE+U
Structure: optimized geometry

## Properties
* M_tot: 2.947 μB/f.u.
* DFT total energy: -6.82 eV/atom

Unit cell a=5.400 b=5.576 c=7.818 alpha=90.00 beta=89.36 gamma=90.00
Each line ends with the local moment (μB).
Atoms (fractional coordinates):
Pm (0.014, 0.943, 0.251)  0.00
Pm (0.514, 0.557, 0.751)  0.00
Pm (0.986, 0.057, 0.749)  0.00
Pm (0.486, 0.443, 0.249)  0.00
Ga (0.500, 0.000, 0.500)  0.04
Ga (0.000, 0.500, 0.000)  0.04
Ni (0.500, 0.000, 0.000)  2.08
Ni (0.000, 0.500, 0.500)  2.08
O (0.298, 0.706, 0.048)  0.13
O (0.798, 0.794, 0.548)  0.13
O (0.702, 0.294, 0.952)  0.13
O (0.202, 0.206, 0.452)  0.13
O (0.293, 0.703, 0.450)  0.14
O (0.793, 0.797, 0.950)  0.14
O (0.707, 0.297, 0.550)  0.14
O (0.207, 0.203, 0.050)  0.14
O (0.909, 0.525, 0.245)  0.09
O (0.409, 0.975, 0.745)  0.09
O (0.091, 0.475, 0.755)  0.09
O (0.591, 0.025, 0.255)  0.09